## ScZn2Cu (PBE-GGA)

Data for a geometry-optimized ScZn2Cu structure.

Unit cell a=4.422 b=4.422 c=4.422 alpha=60.00 beta=60.00 gamma=60.00
Positions (direct):
Sc 0.000 0.000 0.000
Zn 0.500 0.500 0.500
Zn 0.750 0.750 0.750
Cu 0.250 0.250 0.250

Energy relative to the elements ... -0.290 eV per atom

---

## NaTe5Pd3 (PBE-GGA)

Data for a geometry-optimized NaTe5Pd3 structure.

Unit cell a=5.919 b=5.919 c=7.804 alpha=90.00 beta=90.00 gamma=120.00
Positions (direct):
Na 0.000 0.000 0.000
Te 0.000 0.000 0.500
Te 0.333 0.667 0.223
Te 0.333 0.667 0.777
Te 0.667 0.333 0.223
Te 0.667 0.333 0.777
Pd 0.000 0.500 0.500
Pd 0.500 0.000 0.500
Pd 0.500 0.500 0.500

---

## GdDy2In3AgIr2 (PBE-GGA)

Data for a geometry-optimized GdDy2In3AgIr2 structure.

Unit cell a=3.858 b=7.717 c=7.717 alpha=120.01 beta=90.00 gamma=90.00
Positions (direct):
Gd 0.000 0.000 0.000
Dy 0.000 0.174 0.587
Dy 0.000 0.587 0.174
In 0.500 0.319 0.319
In 0.500 0.587 0.855
In 0.500 0.855 0.587
Ag 0.000 0.587 0.587
Ir 0.500 0.254 0.920
Ir 0.500 0.920 0.254

---

## PmZnSb (PBE-GGA)

Data for a geometry-optimized PmZnSb structure.

Unit cell a=5.087 b=5.087 c=5.087 alpha=60.00 beta=60.00 gamma=60.00
Positions (direct):
Pm 0.000 0.000 0.000
Zn 0.250 0.250 0.250
Sb 0.750 0.750 0.750

---

## CsNpHgTe3 (PBE-GGA)

Data for a geometry-optimized CsNpHgTe3 structure.

Unit cell a=8.946 b=8.946 c=11.866 alpha=90.00 beta=90.00 gamma=150.25
Positions (direct):
Cs 0.249 0.751 0.750
Cs 0.751 0.249 0.250
Np 0.000 0.000 0.000
Np 0.000 0.000 0.500
Hg 0.462 0.538 0.250
Hg 0.538 0.462 0.750
Te 0.067 0.933 0.250
Te 0.378 0.622 0.047
Te 0.378 0.622 0.453
Te 0.622 0.378 0.547
Te 0.622 0.378 0.953
Te 0.933 0.067 0.750

---

## CoC2S2N2 (PBE-GGA)

Data for a geometry-optimized CoC2S2N2 structure.

Unit cell a=5.417 b=5.417 c=5.899 alpha=104.81 beta=104.81 gamma=38.53
Positions (direct):
Co 0.000 0.000 0.000
C 0.235 0.235 0.789
C 0.765 0.765 0.211
S 0.386 0.386 0.744
S 0.614 0.614 0.256
N 0.130 0.130 0.837
N 0.870 0.870 0.163

---

## NdAs2 (PBE-GGA)

Data for a geometry-optimized NdAs2 structure.

Unit cell a=7.810 b=5.600 c=7.869 alpha=90.00 beta=114.48 gamma=90.00
Positions (direct):
Nd 0.200 0.182 0.055
Nd 0.200 0.318 0.555
Nd 0.800 0.682 0.445
Nd 0.800 0.818 0.945
As 0.143 0.650 0.844
As 0.143 0.850 0.344
As 0.389 0.571 0.334
As 0.389 0.929 0.834
As 0.611 0.071 0.166
As 0.611 0.429 0.666
As 0.857 0.150 0.656
As 0.857 0.350 0.156

---

## SrNpAs (PBE-GGA)

Data for a geometry-optimized SrNpAs structure.

Unit cell a=5.072 b=5.072 c=5.072 alpha=60.00 beta=60.00 gamma=60.00
Positions (direct):
Sr 0.000 0.000 0.000
Np 0.750 0.750 0.750
As 0.500 0.500 0.500

---

## PrGdPt (PBE-GGA)

Data for a geometry-optimized PrGdPt structure.

Unit cell a=7.311 b=4.902 c=9.129 alpha=90.00 beta=90.00 gamma=90.00
Positions (direct):
Pr 0.146 0.250 0.089
Pr 0.354 0.750 0.589
Pr 0.646 0.250 0.411
Pr 0.854 0.750 0.911
Gd 0.004 0.250 0.662
Gd 0.496 0.750 0.162
Gd 0.504 0.250 0.838
Gd 0.996 0.750 0.338
Pt 0.231 0.250 0.411
Pt 0.269 0.750 0.911
Pt 0.731 0.250 0.089
Pt 0.769 0.750 0.589

Energy relative to the elements ... -0.822 eV per atom

---

## DyInCu (PBE-GGA)

Data for a geometry-optimized DyInCu structure.

Unit cell a=7.355 b=7.355 c=4.012 alpha=90.00 beta=90.00 gamma=120.00
Positions (direct):
Dy 0.000 0.588 0.000
Dy 0.412 0.412 0.000
Dy 0.588 0.000 0.000
In 0.000 0.253 0.500
In 0.253 0.000 0.500
In 0.747 0.747 0.500
Cu 0.000 0.000 0.000
Cu 0.333 0.667 0.500
Cu 0.667 0.333 0.500

---

## Pa3Si3Pd2 (PBE-GGA)

Data for a geometry-optimized Pa3Si3Pd2 structure.

Unit cell a=5.642 b=5.642 c=14.112 alpha=90.00 beta=90.00 gamma=136.27
Positions (direct):
Pa 0.081 0.919 0.616
Pa 0.081 0.919 0.884
Pa 0.368 0.632 0.750
Pa 0.632 0.368 0.250
Pa 0.919 0.081 0.116
Pa 0.919 0.081 0.384
Si 0.349 0.651 0.250
Si 0.394 0.606 0.538
Si 0.394 0.606 0.962
Si 0.606 0.394 0.038
Si 0.606 0.394 0.462
Si 0.651 0.349 0.750
Pd 0.211 0.789 0.098
Pd 0.211 0.789 0.402
Pd 0.789 0.211 0.598
Pd 0.789 0.211 0.902

---

## NdDyW2C3 (PBE-GGA)

Data for a geometry-optimized NdDyW2C3 structure.

Unit cell a=6.264 b=6.264 c=5.815 alpha=113.00 beta=113.00 gamma=31.15
Positions (direct):
Nd 0.000 0.000 0.000
Dy 0.783 0.783 0.367
W 0.237 0.237 0.867
W 0.551 0.551 0.515
C 0.145 0.145 0.460
C 0.392 0.392 0.199
C 0.647 0.647 0.921

---

## AcNbIr (PBE-GGA)

Data for a geometry-optimized AcNbIr structure.

Unit cell a=4.674 b=4.674 c=4.674 alpha=60.00 beta=60.00 gamma=60.00
Positions (direct):
Ac 0.000 0.000 0.000
Nb 0.250 0.250 0.250
Ir 0.500 0.500 0.500

Energy relative to the elements ... 0.425 eV per atom

---

## NaHfNO (PBE-GGA)

Data for a geometry-optimized NaHfNO structure.

Unit cell a=3.684 b=6.787 c=4.442 alpha=90.00 beta=90.00 gamma=90.00
Positions (direct):
Na 0.000 0.144 0.000
Na 0.000 0.856 0.500
Hf 0.500 0.343 0.500
Hf 0.500 0.657 0.000
N 0.500 0.361 0.000
N 0.500 0.639 0.500
O 0.000 0.201 0.499
O 0.000 0.799 0.999

---

## NbHgNO (PBE-GGA)

Data for a geometry-optimized NbHgNO structure.

Unit cell a=4.131 b=4.131 c=9.137 alpha=90.00 beta=90.00 gamma=90.00
Positions (direct):
Nb 0.250 0.250 0.068
Nb 0.750 0.750 0.932
Hg 0.250 0.750 0.500
Hg 0.750 0.250 0.500
N 0.250 0.250 0.257
N 0.750 0.750 0.743
O 0.250 0.750 0.000
O 0.750 0.250 0.000

---

## PuIr2 (PBE-GGA)

Data for a geometry-optimized PuIr2 structure.

Unit cell a=5.356 b=5.356 c=5.356 alpha=60.00 beta=60.00 gamma=60.00
Positions (direct):
Pu 0.125 0.125 0.125
Pu 0.875 0.875 0.875
Ir 0.000 0.500 0.500
Ir 0.500 0.000 0.500
Ir 0.500 0.500 0.000
Ir 0.500 0.500 0.500

Energy relative to the elements ... -0.659 eV per atom

---

## Zr5Sn3P (PBE-GGA)

Data for a geometry-optimized Zr5Sn3P structure.

Unit cell a=8.628 b=8.628 c=5.956 alpha=90.00 beta=90.00 gamma=120.00
Positions (direct):
Zr 0.000 0.250 0.250
Zr 0.000 0.750 0.750
Zr 0.250 0.000 0.250
Zr 0.250 0.250 0.750
Zr 0.333 0.667 0.000
Zr 0.333 0.667 0.500
Zr 0.667 0.333 0.000
Zr 0.667 0.333 0.500
Zr 0.750 0.000 0.750
Zr 0.750 0.750 0.250
Sn 0.000 0.399 0.750
Sn 0.000 0.601 0.250
Sn 0.399 0.000 0.750
Sn 0.399 0.399 0.250
Sn 0.601 0.000 0.250
Sn 0.601 0.601 0.750
P 0.000 0.000 0.000
P 0.000 0.000 0.500

---

## Ho4Zn5Ge6 (PBE-GGA)

Data for a geometry-optimized Ho4Zn5Ge6 structure.

Unit cell a=9.502 b=9.502 c=15.257 alpha=90.00 beta=90.00 gamma=154.29
Positions (direct):
Ho 0.018 0.982 0.500
Ho 0.033 0.967 0.763
Ho 0.167 0.833 0.304
Ho 0.175 0.825 0.945
Ho 0.825 0.175 0.445
Ho 0.833 0.167 0.804
Ho 0.967 0.033 0.263
Ho 0.982 0.018 0.000
Zn 0.152 0.848 0.627
Zn 0.301 0.699 0.624
Zn 0.344 0.656 0.273
Zn 0.350 0.650 0.981
Zn 0.435 0.565 0.685
Zn 0.565 0.435 0.185
Zn 0.650 0.350 0.481
Zn 0.656 0.344 0.773
Zn 0.699 0.301 0.124
Zn 0.848 0.152 0.127
Ge 0.112 0.888 0.117
Ge 0.223 0.777 0.486
Ge 0.228 0.772 0.766
Ge 0.431 0.569 0.408
Ge 0.433 0.567 0.129
Ge 0.440 0.560 0.854
Ge 0.560 0.440 0.354
Ge 0.567 0.433 0.629
Ge 0.569 0.431 0.908
Ge 0.772 0.228 0.266
Ge 0.777 0.223 0.986
Ge 0.888 0.112 0.617

---

## AcAlRe (PBE-GGA)

Data for a geometry-optimized AcAlRe structure.

Unit cell a=4.958 b=4.958 c=4.958 alpha=60.00 beta=60.00 gamma=60.00
Positions (direct):
Ac 0.000 0.000 0.000
Al 0.750 0.750 0.750
Re 0.250 0.250 0.250

---

## SrCuIrW (PBE-GGA)

Data for a geometry-optimized SrCuIrW structure.

Unit cell a=4.604 b=4.604 c=4.604 alpha=60.00 beta=60.00 gamma=60.00
Positions (direct):
Sr 0.000 0.000 0.000
Cu 0.750 0.750 0.750
Ir 0.500 0.500 0.500
W 0.250 0.250 0.250

---

Per-record energy, eV for the cell shown: -13.7; -34.8; -48.1; -11.2; -55.0; -48.9; -66.1; -17.9; -71.8; -36.9; -121.3; -64.8; -21.8; -64.3; -52.9; -67.6; -135.4; -121.2; -15.5; -24.6